# 1
Entry from Alexandria via LeMat-Bulk: a crystal of TiCrB3 relaxed with PBEsol (SCAN).

Results
Calculated total energy: -10.8508 eV/atom
N(E_F): 0.59 states/eV per atom

a = 3.7320 Å, b = 3.7320 Å, c = 3.7320 Å
α = 90.00°, β = 90.00°, γ = 90.00°
Last column: nearest neighbours and their distance in Å.
Atoms (fractional coordinates):
Ti 0.0000 0.0000 0.0000  12 B 2.64
Cr 0.5000 0.5000 0.5000  6 B 1.87
B 0.0000 0.5000 0.5000  2 Cr 1.87
B 0.5000 0.0000 0.5000  2 Cr 1.87
B 0.5000 0.5000 0.0000  2 Cr 1.87



# 2
Entry from Alexandria via LeMat-Bulk: a crystal of TaBe3H relaxed with PBEsol (SCAN).

Results
Calculated total energy: -16.4406 eV/atom
N(E_F): 0.19 states/eV per atom

a = 3.5378 Å, b = 3.5378 Å, c = 3.5378 Å
α = 90.00°, β = 90.00°, γ = 90.00°
Last column: nearest neighbours and their distance in Å.
Atoms (fractional coordinates):
Ta 0.0000 0.0000 0.0000  12 Be 2.50
Be 0.0000 0.5000 0.5000  2 H 1.77
Be 0.5000 0.0000 0.5000  2 H 1.77
Be 0.5000 0.5000 0.0000  2 H 1.77
H 0.5000 0.5000 0.5000  6 Be 1.77



# 3
Entry from Alexandria via LeMat-Bulk: a crystal of Cr2ReHg relaxed with PBEsol (SCAN).

Results
Calculated total energy: -43.4611 eV/atom
N(E_F): 0.78 states/eV per atom

a = 3.9853 Å, b = 3.9853 Å, c = 3.4981 Å
α = 90.00°, β = 90.00°, γ = 90.00°
Last column: nearest neighbours and their distance in Å.
Atoms (fractional coordinates):
Cr 0.0000 0.5000 0.0000  4 Hg 2.65, 4 Re 2.65, 4 Cr 2.82
Cr 0.5000 0.0000 0.0000  4 Hg 2.65, 4 Re 2.65, 4 Cr 2.82
Re 0.0000 0.0000 0.5000  8 Cr 2.65, 4 Hg 2.82
Hg 0.5000 0.5000 0.5000  8 Cr 2.65, 4 Re 2.82



# 4
Entry from Alexandria via LeMat-Bulk: a crystal of KZn4Rh relaxed with PBEsol (SCAN).

Results
Calculated total energy: -15.8626 eV/atom
N(E_F): 0.59 states/eV per atom

a = 5.1559 Å, b = 5.1559 Å, c = 5.1559 Å
α = 60.00°, β = 60.00°, γ = 60.00°
Last column: nearest neighbours and their distance in Å.
Atoms (fractional coordinates):
K 0.0000 0.0000 0.0000  12 Zn 3.03, 4 Rh 3.16
Zn 0.1298 0.6234 0.6234  6 Zn 2.54-2.61
Zn 0.6234 0.1298 0.6234  6 Zn 2.54-2.61
Zn 0.6234 0.6234 0.1298  6 Zn 2.54-2.61
Zn 0.6234 0.6234 0.6234  6 Zn 2.54-2.61
Rh 0.2500 0.2500 0.2500  12 Zn 3.02, 4 K 3.16



# 5
Entry from Alexandria via LeMat-Bulk: a crystal of TlPbSe2 relaxed with PBEsol (SCAN).

Results
N(E_F): 0.41 states/eV per atom
ΔE_f (raw): -1.606 eV/f.u.

a = 4.2473 Å, b = 4.2473 Å, c = 6.0537 Å
α = 90.00°, β = 90.00°, γ = 90.00°
Last column: nearest neighbours and their distance in Å.
Atoms (fractional coordinates):
Tl 0.0000 0.0000 0.0000  6 Se 3.00-3.03
Pb 0.5000 0.5000 0.5000  6 Se 3.00-3.03
Se 0.0000 0.0000 0.5000  4 Pb 3.00, 2 Tl 3.03
Se 0.5000 0.5000 0.0000  4 Tl 3.00, 2 Pb 3.03



# 6
Entry from Alexandria via LeMat-Bulk: a crystal of MgHg5 relaxed with PBEsol (SCAN).

Results
Calculated total energy: -57.7086 eV/atom
N(E_F): 0.28 states/eV per atom

a = 11.4467 Å, b = 3.4540 Å, c = 7.0184 Å
α = 90.00°, β = 103.18°, γ = 90.00°
Last column: nearest neighbours and their distance in Å.
Atoms (fractional coordinates):
Mg 0.0000 0.0000 0.0000  7 Hg 2.92-3.08
Mg 0.5000 0.5000 0.0000  7 Hg 2.92-3.08
Hg 0.1111 0.5000 0.7561  2 Mg 2.92, 4 Hg 3.13-3.14
Hg 0.1597 0.5000 0.3078  2 Mg 3.03, 8 Hg 3.09-3.32
Hg 0.3048 0.0000 0.0788  2 Mg 2.97, 7 Hg 3.02-3.28
Hg 0.3175 0.0000 0.6541  8 Hg 3.02-3.27, 2 Mg 3.31
Hg 0.4574 0.5000 0.4182  9 Hg 3.08-3.32, 1 Mg 3.08
Hg 0.6111 0.0000 0.7561  2 Mg 2.92, 4 Hg 3.13-3.14
Hg 0.6597 0.0000 0.3078  2 Mg 3.03, 8 Hg 3.09-3.32
Hg 0.8048 0.5000 0.0788  2 Mg 2.97, 7 Hg 3.02-3.28
Hg 0.8175 0.5000 0.6541  8 Hg 3.02-3.27, 2 Mg 3.31
Hg 0.9574 0.0000 0.4182  9 Hg 3.08-3.32, 1 Mg 3.08



# 7
Entry from Alexandria via LeMat-Bulk: a crystal of LuSnRu2 relaxed with PBEsol (SCAN).

Results
Calculated total energy: -40.7335 eV/atom
N(E_F): 1.16 states/eV per atom

a = 6.4406 Å, b = 6.4406 Å, c = 6.4406 Å
α = 90.00°, β = 90.00°, γ = 90.00°
Last column: nearest neighbours and their distance in Å.
Atoms (fractional coordinates):
Lu 0.0000 0.0000 0.0000  8 Ru 2.79
Lu 0.0000 0.5000 0.5000  8 Ru 2.79
Lu 0.5000 0.0000 0.5000  8 Ru 2.79
Lu 0.5000 0.5000 0.0000  8 Ru 2.79
Sn 0.0000 0.0000 0.5000  8 Ru 2.79
Sn 0.0000 0.5000 0.0000  8 Ru 2.79
Sn 0.5000 0.0000 0.0000  8 Ru 2.79
Sn 0.5000 0.5000 0.5000  8 Ru 2.79
Ru 0.2500 0.2500 0.2500  4 Sn 2.79, 4 Lu 2.79
Ru 0.2500 0.2500 0.7500  4 Lu 2.79, 4 Sn 2.79
Ru 0.2500 0.7500 0.2500  4 Lu 2.79, 4 Sn 2.79
Ru 0.2500 0.7500 0.7500  4 Sn 2.79, 4 Lu 2.79
Ru 0.7500 0.2500 0.2500  4 Lu 2.79, 4 Sn 2.79
Ru 0.7500 0.2500 0.7500  4 Sn 2.79, 4 Lu 2.79
Ru 0.7500 0.7500 0.2500  4 Sn 2.79, 4 Lu 2.79
Ru 0.7500 0.7500 0.7500  4 Lu 2.79, 4 Sn 2.79



# 8
Entry from Alexandria via LeMat-Bulk: a crystal of CdHg relaxed with PBEsol (SCAN).

Results
Calculated total energy: -49.2851 eV/atom
N(E_F): 0.37 states/eV per atom

a = 5.8036 Å, b = 5.8036 Å, c = 5.8036 Å
α = 90.00°, β = 90.00°, γ = 90.00°
Last column: nearest neighbours and their distance in Å.
Atoms (fractional coordinates):
Cd 0.0000 0.0000 0.0000  6 Hg 2.90
Cd 0.0000 0.5000 0.5000  6 Hg 2.90
Cd 0.5000 0.0000 0.5000  6 Hg 2.90
Cd 0.5000 0.5000 0.0000  6 Hg 2.90
Hg 0.0000 0.0000 0.5000  6 Cd 2.90
Hg 0.0000 0.5000 0.0000  6 Cd 2.90
Hg 0.5000 0.0000 0.0000  6 Cd 2.90
Hg 0.5000 0.5000 0.5000  6 Cd 2.90



# 9
Entry from Alexandria via LeMat-Bulk: a crystal of KTiNbO5 relaxed with PBEsol (SCAN).

Results
N(E_F): 0.00 states/eV per atom
ΔE_f (raw): -23.298 eV/f.u.

a = 6.4377 Å, b = 3.8002 Å, c = 18.4522 Å
α = 90.00°, β = 90.00°, γ = 90.00°
Last column: nearest neighbours and their distance in Å.
Atoms (fractional coordinates):
K 0.2213 0.2500 0.1922  8 O 2.80-3.09
K 0.2787 0.7500 0.6922  8 O 2.80-3.09
K 0.7213 0.2500 0.3078  8 O 2.80-3.09
K 0.7787 0.7500 0.8078  8 O 2.80-3.09
Ti 0.1784 0.2500 0.5335  4 O 1.78-1.96
Ti 0.3216 0.7500 0.0335  4 O 1.78-1.96
Ti 0.6784 0.2500 0.9665  4 O 1.78-1.96
Ti 0.8216 0.7500 0.4665  4 O 1.78-1.96
Nb 0.2262 0.2500 0.8893  4 O 1.80-1.99
Nb 0.2738 0.7500 0.3893  4 O 1.80-1.99
Nb 0.7262 0.2500 0.6107  4 O 1.80-1.99
Nb 0.7738 0.7500 0.1107  4 O 1.80-1.99
O 0.0340 0.2500 0.6209  1 Ti 1.86, 1 Nb 1.99
O 0.0681 0.7500 0.0726  1 Ti 1.78
O 0.1425 0.7500 0.5104  2 Ti 1.96
O 0.1548 0.2500 0.7948  1 Nb 1.80
O 0.2365 0.7500 0.9211  2 Nb 1.99, 1 Ti 2.14
O 0.2635 0.2500 0.4211  2 Nb 1.99, 1 Ti 2.14
O 0.3452 0.7500 0.2948  1 Nb 1.80
O 0.3575 0.2500 0.0104  2 Ti 1.96
O 0.4319 0.2500 0.5726  1 Ti 1.78
O 0.4660 0.7500 0.1209  1 Ti 1.86, 1 Nb 1.99
O 0.5340 0.2500 0.8791  1 Ti 1.86, 1 Nb 1.99
O 0.5681 0.7500 0.4274  1 Ti 1.78
O 0.6425 0.7500 0.9896  2 Ti 1.96
O 0.6548 0.2500 0.7052  1 Nb 1.80
O 0.7365 0.7500 0.5789  2 Nb 1.99, 1 Ti 2.14
O 0.7635 0.2500 0.0789  2 Nb 1.99, 1 Ti 2.14
O 0.8452 0.7500 0.2052  1 Nb 1.80
O 0.8575 0.2500 0.4896  2 Ti 1.96
O 0.9319 0.2500 0.9274  1 Ti 1.78
O 0.9660 0.7500 0.3791  1 Ti 1.86, 1 Nb 1.99



# 10
Entry from Alexandria via LeMat-Bulk: a crystal of AgHg2PtW relaxed with PBEsol (SCAN).

Results
Calculated total energy: -59.6094 eV/atom
N(E_F): 0.62 states/eV per atom

a = 4.8920 Å, b = 4.8920 Å, c = 4.9460 Å
α = 90.00°, β = 90.00°, γ = 90.00°
Last column: nearest neighbours and their distance in Å.
Atoms (fractional coordinates):
Ag 0.0000 0.0000 0.0000  4 Hg 2.45, 2 W 2.47
Hg 0.0000 0.5000 0.0000  2 Ag 2.45
Hg 0.5000 0.0000 0.0000  2 Ag 2.45
Pt 0.5000 0.5000 0.5000  4 W 3.46, 8 Hg 3.48
W 0.0000 0.0000 0.5000  2 Ag 2.47



# 11
Entry from Alexandria via LeMat-Bulk: a crystal of K2H4Pt relaxed with PBEsol (SCAN).

Results
Calculated total energy: -14.9004 eV/atom
N(E_F): 0.00 states/eV per atom

a = 5.6133 Å, b = 5.6133 Å, c = 7.6166 Å
α = 90.00°, β = 90.00°, γ = 90.00°
Last column: nearest neighbours and their distance in Å.
Atoms (fractional coordinates):
K 0.0000 0.5000 0.2500  8 H 2.77
K 0.0000 0.5000 0.7500  8 H 2.77
K 0.5000 0.0000 0.2500  8 H 2.77
K 0.5000 0.0000 0.7500  8 H 2.77
H 0.2082 0.2082 0.0000  1 Pt 1.65
H 0.2082 0.7918 0.0000  1 Pt 1.65
H 0.2918 0.2918 0.5000  1 Pt 1.65
H 0.2918 0.7082 0.5000  1 Pt 1.65
H 0.7082 0.2918 0.5000  1 Pt 1.65
H 0.7082 0.7082 0.5000  1 Pt 1.65
H 0.7918 0.2082 0.0000  1 Pt 1.65
H 0.7918 0.7918 0.0000  1 Pt 1.65
Pt 0.0000 0.0000 0.0000  4 H 1.65
Pt 0.5000 0.5000 0.5000  4 H 1.65



# 12
Entry from Alexandria via LeMat-Bulk: a crystal of K3CdP relaxed with PBEsol (SCAN).

Results
Calculated total energy: -13.4414 eV/atom

a = 9.6171 Å, b = 5.6902 Å, c = 13.5870 Å
α = 90.00°, β = 90.00°, γ = 90.00°
Last column: nearest neighbours and their distance in Å.
Atoms (fractional coordinates):
K 0.0328 0.2500 0.1806  2 P 3.19-3.39, 1 Cd 3.45
K 0.1139 0.7500 0.5151  3 P 3.25-3.43, 3 K 3.50-3.61, 2 Cd 3.62
K 0.2050 0.2500 0.7917  2 P 3.27, 1 K 3.50
K 0.2950 0.7500 0.2917  2 P 3.27, 1 K 3.50
K 0.3861 0.2500 0.0151  3 P 3.25-3.43, 3 K 3.50-3.61, 2 Cd 3.62
K 0.4672 0.7500 0.6806  2 P 3.19-3.39, 1 Cd 3.45
K 0.5328 0.2500 0.3194  2 P 3.19-3.39, 1 Cd 3.45
K 0.6139 0.7500 0.9849  3 P 3.25-3.43, 3 K 3.50-3.61, 2 Cd 3.62
K 0.7050 0.2500 0.7083  2 P 3.27, 1 K 3.50
K 0.7950 0.7500 0.2083  2 P 3.27, 1 K 3.50
K 0.8861 0.2500 0.4849  3 P 3.25-3.43, 3 K 3.50-3.61, 2 Cd 3.62
K 0.9672 0.7500 0.8194  2 P 3.19-3.39, 1 Cd 3.45
Cd 0.1550 0.7500 0.0359  1 P 2.51
Cd 0.3450 0.2500 0.5359  1 P 2.51
Cd 0.6550 0.7500 0.4641  1 P 2.51
Cd 0.8450 0.2500 0.9641  1 P 2.51
P 0.1933 0.2500 0.3859  1 Cd 2.51
P 0.3067 0.7500 0.8859  1 Cd 2.51
P 0.6933 0.2500 0.1141  1 Cd 2.51
P 0.8067 0.7500 0.6141  1 Cd 2.51